# PBE-GGA SmHoTm3, optimized geometry
# Energy above the lowest structure with this stoichiometry   0.000 eV per atom
# Formation enthalpy at 0 K   0.05 eV per atom
data_SmHoTm3
_chemical_formula_sum 'Sm4 Ho4 Tm12'
_cell_length_a 10.819
_cell_length_b 6.953
_cell_length_c 8.740
_cell_angle_alpha 90.00
_cell_angle_beta 108.13
_cell_angle_gamma 90.00
_symmetry_space_group_name_H-M 'C 1 2/m 1'
_symmetry_Int_Tables_number 12
loop_
_symmetry_equiv_pos_as_xyz
'x,y,z'
'-x,-y,-z'
'-x,y,-z'
'x,-y,z'
'x+1/2,y+1/2,z'
'-x+1/2,-y+1/2,-z'
'-x+1/2,y+1/2,-z'
'x+1/2,-y+1/2,z'
loop_
_atom_site_label
_atom_site_type_symbol
_atom_site_fract_x
_atom_site_fract_y
_atom_site_fract_z
Sm1 Sm 0.195 0.000 0.277
Ho1 Ho 0.194 0.500 0.276
Tm1 Tm 0.000 0.250 0.500
Tm2 Tm 0.099 0.250 0.898

# PBE-GGA Pu4Hg5Rh2, optimized geometry
# Formation enthalpy at 0 K   -0.27 eV per atom
data_Pu4Hg5Rh2
_chemical_formula_sum 'Pu4 Hg5 Rh2'
_cell_length_a 7.833
_cell_length_b 3.532
_cell_length_c 9.756
_cell_angle_alpha 90.00
_cell_angle_beta 95.25
_cell_angle_gamma 90.00
_symmetry_space_group_name_H-M 'P 1 2/m 1'
_symmetry_Int_Tables_number 10
loop_
_symmetry_equiv_pos_as_xyz
'x,y,z'
'-x,-y,-z'
'-x,y,-z'
'x,-y,z'
loop_
_atom_site_label
_atom_site_type_symbol
_atom_site_fract_x
_atom_site_fract_y
_atom_site_fract_z
Pu1 Pu 0.178 0.000 0.353
Pu2 Pu 0.216 0.000 0.942
Hg1 Hg 0.174 0.500 0.647
Hg2 Hg 0.460 0.500 0.174
Hg3 Hg 0.500 0.500 0.500
Rh1 Rh 0.079 0.500 0.143

# PBE-GGA ScSe3, optimized geometry
# Formation energy from raw total energies   -157.2 kJ/mol of formula units
data_ScSe3
_chemical_formula_sum 'Sc1 Se3'
_cell_length_a 5.199
_cell_length_b 5.199
_cell_length_c 5.199
_cell_angle_alpha 90.00
_cell_angle_beta 90.00
_cell_angle_gamma 90.00
_symmetry_space_group_name_H-M 'P m -3 m'
_symmetry_Int_Tables_number 221
_symmetry_space_group_name_Hall '-P 4 2 3'
loop_
_atom_site_label
_atom_site_type_symbol
_atom_site_fract_x
_atom_site_fract_y
_atom_site_fract_z
Sc1 Sc 0.000 0.000 0.000
Se1 Se 0.000 0.000 0.500

# PBE-GGA YZnOs2, optimized geometry
# Formation enthalpy at 0 K   0.31 eV per atom
data_YZnOs2
_chemical_formula_sum 'Y2 Zn2 Os4'
_cell_length_a 4.554
_cell_length_b 4.554
_cell_length_c 6.582
_cell_angle_alpha 90.00
_cell_angle_beta 90.00
_cell_angle_gamma 90.00
_symmetry_space_group_name_H-M 'I -4 m 2'
_symmetry_Int_Tables_number 119
_symmetry_space_group_name_Hall 'I -4 -2'
loop_
_atom_site_label
_atom_site_type_symbol
_atom_site_fract_x
_atom_site_fract_y
_atom_site_fract_z
Y1 Y 0.000 0.000 0.000
Zn1 Zn 0.000 0.500 0.750
Os1 Os 0.000 0.000 0.500
Os2 Os 0.000 0.500 0.250